! Zn2OsPb SCAN single point on PBEsol structure; values from VASP
! SG: R-3m
! energy relative to the elements: 0.533 eV/atom
! energy: -1.585 Ha/atom
&SYSTEM
  ibrav = 0, nat = 4, ntyp = 3
/
ATOMIC_SPECIES
Zn 65.41 Zn.upf
Os 190.23 Os.upf
Pb 207.20 Pb.upf
CELL_PARAMETERS angstrom
1.505 0.869 9.028
-1.505 0.869 9.028
0.000 -1.738 9.028
ATOMIC_POSITIONS crystal
Zn 0.238 0.238 0.238
Zn 0.762 0.762 0.762
Os 0.500 0.500 0.500
Pb 0.000 0.000 0.000